{
  "formula": "PrSBr",
  "functional": "PBE",
  "state": "relaxed",
  "crystal_system": "orthorhombic",
  "e_form_raw_ev_per_atom": -2.00,
  "cell": [[-2.930, 3.051, 1.721], [-2.753, 0.014, -4.712], [-8.215, -10.579, 4.770]],
  "species": ["S", "S", "S", "S", "Br", "Br", "Br", "Br", "Pr", "Pr", "Pr", "Pr"],
  "fractional_positions": [[0.250, 0.528, 0.776], [0.750, 0.028, 0.724], [0.750, 0.472, 0.224], [0.250, 0.972, 0.276], [0.250, 0.757, 0.032], [0.750, 0.243, 0.968], [0.250, 0.743, 0.532], [0.750, 0.257, 0.468], [0.250, 0.473, 0.343], [0.750, 0.973, 0.157], [0.750, 0.527, 0.657], [0.250, 0.027, 0.843]]
}



{
  "formula": "K2CrBr4",
  "functional": "PBE",
  "state": "relaxed",
  "crystal_system": "monoclinic",
  "e_form_raw_ev_per_atom": -1.20,
  "e_above_lowest_polymorph_ev_per_atom": 0.072,
  "cell": [[7.537, 0.000, -0.085], [0.000, 7.430, 0.000], [-2.871, 0.000, 8.904]],
  "species": ["Br", "Br", "Br", "Br", "Br", "Br", "Br", "Br", "K", "K", "K", "K", "Cr", "Cr"],
  "fractional_positions": [[0.492, 0.001, 0.257], [0.492, 0.499, 0.257], [0.508, 0.999, 0.743], [0.914, 0.250, 0.082], [0.086, 0.750, 0.918], [0.508, 0.501, 0.743], [0.078, 0.750, 0.377], [0.922, 0.250, 0.623], [0.236, 0.250, 0.435], [0.764, 0.750, 0.565], [0.716, 0.750, 0.055], [0.284, 0.250, 0.945], [0.739, 0.250, 0.806], [0.261, 0.750, 0.194]]
}



{
  "formula": "Ba2CoGeN",
  "functional": "PBE",
  "state": "relaxed",
  "crystal_system": "tetragonal",
  "e_form_raw_ev_per_atom": 0.24,
  "e_above_lowest_polymorph_ev_per_atom": 0.578,
  "cell": [[-0.223, 4.938, 2.843], [-3.286, -1.275, 1.957], [3.297, -2.209, 4.095]],
  "species": ["Co", "Ba", "Ba", "Ge", "N"],
  "fractional_positions": [[0.500, 0.500, 0.500], [0.000, 0.000, 0.500], [0.500, 0.000, 0.000], [0.000, 0.500, 0.000], [0.000, 0.000, 0.000]]
}



{
  "formula": "Tb3AsP2",
  "functional": "PBE",
  "state": "relaxed",
  "crystal_system": "tetragonal",
  "formation_enthalpy_0k_ev_per_atom": -1.583,
  "cell": [[-0.926, 2.630, 2.959], [-2.794, 1.719, -2.401], [-4.089, -7.648, 2.724]],
  "species": ["Tb", "Tb", "Tb", "As", "P", "P"],
  "fractional_positions": [[0.934, 0.936, 0.874], [0.604, 0.605, 0.212], [0.265, 0.266, 0.535], [0.434, 0.436, 0.874], [0.768, 0.769, 0.541], [0.101, 0.102, 0.207]]
}



Results for size of the total moment: 0.00, 4.00, 0.95, 0.00 (in μB per formula unit, following the order of the records).